Model one:
Here is a geometry-optimized BaErSc structure from the Open Quantum Materials Database. Energies are from GGA-PBE.

a b c (Å): 7.8725 7.8725 7.8725
angles (deg): 90.00 90.00 90.00
Closest atoms and distances in Å follow each position.
Space group F-43m (No. 216)
One atom of each set of equivalent atoms:
Ba1 0.0000 0.0000 0.0000 (multiplicity 4)  4 Sc 3.41
Er1 0.0000 0.0000 0.5000 (multiplicity 4)  4 Sc 3.41
Sc1 0.2500 0.2500 0.2500 (multiplicity 4)  4 Ba 3.41, 4 Er 3.41

Model two:
Here is a geometry-optimized BaErSc structure from the Open Quantum Materials Database. Energies are from GGA-PBE.

a b c (Å): 7.6074 7.6074 7.6074
angles (deg): 90.00 90.00 90.00
Closest atoms and distances in Å follow each position.
Space group F-43m (No. 216)
One atom of each set of equivalent atoms:
Ba1 0.0000 0.0000 0.0000 (multiplicity 4)  4 Er 3.29, 4 Sc 3.29
Er1 0.2500 0.2500 0.7500 (multiplicity 4)  4 Ba 3.29
Sc1 0.2500 0.2500 0.2500 (multiplicity 4)  4 Ba 3.29

Least stable structure: model two

Model one:
Here is a geometry-optimized BaErTc structure from the Open Quantum Materials Database. Energies are from GGA-PBE.

a b c (Å): 7.0854 7.0854 7.0854
angles (deg): 90.00 90.00 90.00
Closest atoms and distances in Å follow each position.
Space group F-43m (No. 216)
One atom of each set of equivalent atoms:
Ba1 0.0000 0.0000 0.0000 (multiplicity 4)  4 Er 3.07
Er1 0.2500 0.2500 0.2500 (multiplicity 4)  4 Ba 3.07, 4 Tc 3.07
Tc1 0.0000 0.0000 0.5000 (multiplicity 4)  4 Er 3.07

Model two:
Here is a geometry-optimized BaErTc structure from the Open Quantum Materials Database. Energies are from GGA-PBE.

a b c (Å): 6.9708 6.9708 6.9708
angles (deg): 90.00 90.00 90.00
Closest atoms and distances in Å follow each position.
Space group F-43m (No. 216)
One atom of each set of equivalent atoms:
Ba1 0.0000 0.0000 0.0000 (multiplicity 4)  4 Er 3.02, 4 Tc 3.02
Er1 0.2500 0.2500 0.7500 (multiplicity 4)  4 Ba 3.02
Tc1 0.2500 0.2500 0.2500 (multiplicity 4)  4 Ba 3.02

Least stable structure: model two

Model one:
Here is a geometry-optimized BaErW structure from the Open Quantum Materials Database. Energies are from GGA-PBE.

a b c (Å): 7.3328 7.3328 7.3328
angles (deg): 90.00 90.00 90.00
Closest atoms and distances in Å follow each position.
Space group F-43m (No. 216)
One atom of each set of equivalent atoms:
Ba1 0.0000 0.0000 0.0000 (multiplicity 4)  4 Er 3.18
Er1 0.2500 0.2500 0.2500 (multiplicity 4)  4 Ba 3.18, 4 W 3.18
W1 0.0000 0.0000 0.5000 (multiplicity 4)  4 Er 3.18

Model two:
Here is a geometry-optimized BaErW structure from the Open Quantum Materials Database. Energies are from GGA-PBE.

a b c (Å): 7.2422 7.2422 7.2422
angles (deg): 90.00 90.00 90.00
Closest atoms and distances in Å follow each position.
Space group F-43m (No. 216)
One atom of each set of equivalent atoms:
Ba1 0.0000 0.0000 0.0000 (multiplicity 4)  4 W 3.14, 4 Er 3.14
Er1 0.2500 0.2500 0.7500 (multiplicity 4)  4 Ba 3.14
W1 0.2500 0.2500 0.2500 (multiplicity 4)  4 Ba 3.14

Least stable structure: model two

Model one:
Here is a geometry-optimized BaHgF4 structure from the Open Quantum Materials Database. Energies are from GGA-PBE.

a b c (Å): 12.6580 5.9743 6.0243
angles (deg): 90.00 114.63 90.00
Closest atoms and distances in Å follow each position.
Space group C2/c (No. 15)
One atom of each set of equivalent atoms:
Ba1 0.0000 0.2323 0.2500 (multiplicity 4)  8 F 2.58-2.66
Hg1 0.2500 0.2500 0.0000 (multiplicity 4)  4 F 2.15-2.38
F1 0.1126 0.4411 0.0300 (multiplicity 8)  1 Hg 2.15
F2 0.1424 0.0312 0.6466 (multiplicity 8)  2 Hg 2.38-2.54, 2 Ba 2.61-2.66

Model two:
Here is a geometry-optimized BaHgF4 structure from the Open Quantum Materials Database. Energies are from GGA-PBE.

a b c (Å): 4.0620 4.0620 5.8182
angles (deg): 90.00 90.00 90.00
Closest atoms and distances in Å follow each position.
Space group P4/mmm (No. 123)
One atom of each set of equivalent atoms:
Ba1 0.0000 0.0000 0.0000 (multiplicity 1)  8 F 2.58
Hg1 0.5000 0.5000 0.5000 (multiplicity 1)  8 F 2.42
F1 0.0000 0.5000 0.2732 (multiplicity 4)  2 Hg 2.42, 2 Ba 2.58, 1 F 2.64

Least stable structure: model two

Model one:
Here is a geometry-optimized Ba3Fe structure from the Open Quantum Materials Database. Energies are from GGA-PBE.

a b c (Å): 5.4218 5.4218 12.1065
angles (deg): 90.00 90.00 90.00
Closest atoms and distances in Å follow each position.
Space group I4/mmm (No. 139)
One atom of each set of equivalent atoms:
Ba1 0.0000 0.0000 0.0000 (multiplicity 2)  4 Fe 3.83, 8 Ba 4.06
Ba2 0.0000 0.5000 0.2500 (multiplicity 4)  8 Ba 3.83-4.06, 4 Fe 4.06
Fe1 0.0000 0.0000 0.5000 (multiplicity 2)  12 Ba 3.83-4.06

Model two:
Here is a geometry-optimized Ba3Fe structure from the Open Quantum Materials Database. Energies are from GGA-PBE.

a b c (Å): 5.6354 5.6354 5.6354
angles (deg): 90.00 90.00 90.00
Closest atoms and distances in Å follow each position.
Space group Pm-3m (No. 221)
One atom of each set of equivalent atoms:
Ba1 0.0000 0.0000 0.5000 (multiplicity 3)  4 Fe 3.98, 8 Ba 3.98
Fe1 0.5000 0.5000 0.5000 (multiplicity 1)  12 Ba 3.98

Model three:
Here is a geometry-optimized Ba3Fe structure from the Open Quantum Materials Database. Energies are from GGA-PBE.

a b c (Å): 7.9729 7.9729 5.9652
angles (deg): 90.00 90.00 120.00
Closest atoms and distances in Å follow each position.
Space group P6_3/mmc (No. 194)
One atom of each set of equivalent atoms:
Ba1 0.1782 0.3563 0.2500 (multiplicity 6)  4 Fe 3.67-3.99, 6 Ba 3.71-3.87
Fe1 0.3333 0.6667 0.7500 (multiplicity 2)  12 Ba 3.67-3.99

Least stable structure: model one

Model one:
Here is a geometry-optimized BaHfFe structure from the Open Quantum Materials Database. Energies are from GGA-PBE.

a b c (Å): 6.8573 6.8573 6.8573
angles (deg): 90.00 90.00 90.00
Closest atoms and distances in Å follow each position.
Space group F-43m (No. 216)
One atom of each set of equivalent atoms:
Ba1 0.0000 0.0000 0.0000 (multiplicity 4)  4 Fe 2.97, 4 Hf 2.97
Hf1 0.2500 0.2500 0.2500 (multiplicity 4)  4 Ba 2.97
Fe1 0.2500 0.2500 0.7500 (multiplicity 4)  4 Ba 2.97

Model two:
Here is a geometry-optimized BaHfFe structure from the Open Quantum Materials Database. Energies are from GGA-PBE.

a b c (Å): 6.7740 6.7740 6.7740
angles (deg): 90.00 90.00 90.00
Closest atoms and distances in Å follow each position.
Space group F-43m (No. 216)
One atom of each set of equivalent atoms:
Ba1 0.0000 0.0000 0.0000 (multiplicity 4)  4 Fe 2.93
Hf1 0.0000 0.0000 0.5000 (multiplicity 4)  4 Fe 2.93
Fe1 0.2500 0.2500 0.2500 (multiplicity 4)  4 Hf 2.93, 4 Ba 2.93

Least stable structure: model one

Model one:
Here is a geometry-optimized BaMgFeW structure from the Open Quantum Materials Database. Energies are from GGA-PBE.

a b c (Å): 6.9258 6.9258 6.9258
angles (deg): 90.00 90.00 90.00
Closest atoms and distances in Å follow each position.
Space group F-43m (No. 216)
One atom of each set of equivalent atoms:
Ba1 0.0000 0.0000 0.0000 (multiplicity 4)  4 W 3.00, 4 Mg 3.00
Mg1 0.2500 0.2500 0.2500 (multiplicity 4)  4 Ba 3.00, 4 Fe 3.00
Fe1 0.0000 0.0000 0.5000 (multiplicity 4)  4 W 3.00, 4 Mg 3.00
W1 0.2500 0.2500 0.7500 (multiplicity 4)  4 Ba 3.00, 4 Fe 3.00

Model two:
Here is a geometry-optimized BaMgFeW structure from the Open Quantum Materials Database. Energies are from GGA-PBE.

a b c (Å): 7.1410 7.1410 7.1410
angles (deg): 90.00 90.00 90.00
Closest atoms and distances in Å follow each position.
Space group F-43m (No. 216)
One atom of each set of equivalent atoms:
Ba1 0.0000 0.0000 0.0000 (multiplicity 4)  4 Fe 3.09, 4 W 3.09
Mg1 0.0000 0.0000 0.5000 (multiplicity 4)  4 W 3.09, 4 Fe 3.09
Fe1 0.2500 0.2500 0.7500 (multiplicity 4)  4 Ba 3.09, 4 Mg 3.09
W1 0.2500 0.2500 0.2500 (multiplicity 4)  4 Ba 3.09, 4 Mg 3.09

Model three:
Here is a geometry-optimized BaMgFeW structure from the Open Quantum Materials Database. Energies are from GGA-PBE.

a b c (Å): 7.0084 7.0084 7.0084
angles (deg): 90.00 90.00 90.00
Closest atoms and distances in Å follow each position.
Space group F-43m (No. 216)
One atom of each set of equivalent atoms:
Ba1 0.0000 0.0000 0.0000 (multiplicity 4)  4 Fe 3.03, 4 Mg 3.03
Mg1 0.2500 0.2500 0.7500 (multiplicity 4)  4 Ba 3.03, 4 W 3.03
Fe1 0.2500 0.2500 0.2500 (multiplicity 4)  4 Ba 3.03, 4 W 3.03
W1 0.0000 0.0000 0.5000 (multiplicity 4)  4 Fe 3.03, 4 Mg 3.03

Least stable structure: model two

Model one:
Here is a geometry-optimized BaNaFeTc structure from the Open Quantum Materials Database. Energies are from GGA-PBE.

a b c (Å): 7.4077 7.4077 7.4077
angles (deg): 90.00 90.00 90.00
Closest atoms and distances in Å follow each position.
Space group F-43m (No. 216)
One atom of each set of equivalent atoms:
Ba1 0.0000 0.0000 0.0000 (multiplicity 4)  4 Fe 3.21, 4 Tc 3.21
Na1 0.0000 0.0000 0.5000 (multiplicity 4)  4 Fe 3.21, 4 Tc 3.21
Fe1 0.2500 0.2500 0.2500 (multiplicity 4)  4 Na 3.21, 4 Ba 3.21
Tc1 0.2500 0.2500 0.7500 (multiplicity 4)  4 Ba 3.21, 4 Na 3.21

Model two:
Here is a geometry-optimized BaNaFeTc structure from the Open Quantum Materials Database. Energies are from GGA-PBE.

a b c (Å): 7.0654 7.0654 7.0654
angles (deg): 90.00 90.00 90.00
Closest atoms and distances in Å follow each position.
Space group F-43m (No. 216)
One atom of each set of equivalent atoms:
Ba1 0.0000 0.0000 0.0000 (multiplicity 4)  4 Fe 3.06, 4 Na 3.06
Na1 0.2500 0.2500 0.2500 (multiplicity 4)  4 Ba 3.06, 4 Tc 3.06
Fe1 0.2500 0.2500 0.7500 (multiplicity 4)  4 Ba 3.06, 4 Tc 3.06
Tc1 0.0000 0.0000 0.5000 (multiplicity 4)  4 Na 3.06, 4 Fe 3.06

Model three:
Here is a geometry-optimized BaNaFeTc structure from the Open Quantum Materials Database. Energies are from GGA-PBE.

a b c (Å): 7.0180 7.0180 7.0180
angles (deg): 90.00 90.00 90.00
Closest atoms and distances in Å follow each position.
Space group F-43m (No. 216)
One atom of each set of equivalent atoms:
Ba1 0.0000 0.0000 0.0000 (multiplicity 4)  4 Tc 3.04, 4 Na 3.04
Na1 0.2500 0.2500 0.7500 (multiplicity 4)  4 Ba 3.04, 4 Fe 3.04
Fe1 0.0000 0.0000 0.5000 (multiplicity 4)  4 Na 3.04, 4 Tc 3.04
Tc1 0.2500 0.2500 0.2500 (multiplicity 4)  4 Ba 3.04, 4 Fe 3.04

Least stable structure: model one